P:
Material: Mg3ZnSb
Method: DFT, PBE-GGA
State: relaxed

Volume   32.2 A^3/atom
DOS at the Fermi energy   3.4 states/eV/f.u.

Lattice parameters (Å, degrees): 5.439 5.439 5.439 90.00 90.00 90.00
Fractional coordinates of all 5 atoms:
Mg (0.000, 0.000, 0.500)
Mg (0.000, 0.500, 0.000)
Mg (0.500, 0.000, 0.000)
Zn (0.500, 0.500, 0.500)
Sb (0.000, 0.000, 0.000)

---

Q:
Material: Mg3ZnSb
Method: DFT, PBE-GGA
State: relaxed

Volume   24.9 A^3/atom
DOS at the Fermi energy   3.5 states/eV/f.u.

Lattice parameters (Å, degrees): 4.992 4.992 4.992 90.00 90.00 90.00
Fractional coordinates of all 5 atoms:
Mg (0.000, 0.000, 0.500)
Mg (0.000, 0.500, 0.000)
Mg (0.500, 0.000, 0.000)
Zn (0.000, 0.000, 0.000)
Sb (0.500, 0.500, 0.500)

---

Preferred: Q; penalty for the next structure: 24.8 kJ/mol of atoms.

---

P:
Material: MgZrSb
Method: DFT, PBE-GGA
State: relaxed

Volume   23.6 A^3/atom
DOS at the Fermi energy   1.1 states/eV/f.u.

Lattice parameters (Å, degrees): 4.371 4.371 7.406 90.00 90.00 90.00
Fractional coordinates of all 6 atoms:
Mg (0.250, 0.250, 0.179)
Mg (0.750, 0.750, 0.821)
Zr (0.250, 0.750, 0.500)
Zr (0.750, 0.250, 0.500)
Sb (0.250, 0.250, 0.788)
Sb (0.750, 0.750, 0.212)

---

Q:
Material: MgZrSb
Method: DFT, PBE-GGA
State: relaxed

Volume   22.4 A^3/atom
DOS at the Fermi energy   3.3 states/eV/f.u.

Lattice parameters (Å, degrees): 5.727 5.727 5.727 145.85 140.10 53.51
Fractional coordinates of all 3 atoms:
Mg (0.000, 0.000, 0.000)
Zr (0.328, 0.328, 0.000)
Sb (0.662, 0.662, 0.000)

---

R:
Material: MgZrSb
Method: DFT, PBE-GGA
State: relaxed

Volume   25.5 A^3/atom
DOS at the Fermi energy   2.5 states/eV/f.u.

Lattice parameters (Å, degrees): 8.014 8.014 8.014 35.27 35.27 35.27
Fractional coordinates of all 6 atoms:
Mg (0.205, 0.205, 0.205)
Mg (0.795, 0.795, 0.795)
Zr (0.340, 0.340, 0.340)
Zr (0.660, 0.660, 0.660)
Sb (0.073, 0.073, 0.073)
Sb (0.927, 0.927, 0.927)

---

S:
Material: MgZrSb
Method: DFT, PBE-GGA
State: relaxed

Volume   26.0 A^3/atom
DOS at the Fermi energy   4.4 states/eV/f.u.

Lattice parameters (Å, degrees): 4.796 4.796 4.796 60.00 60.00 60.00
Fractional coordinates of all 3 atoms:
Mg (0.000, 0.000, 0.000)
Zr (0.500, 0.500, 0.500)
Sb (0.250, 0.250, 0.250)

---

Preferred: P; penalty for the next structure: 29.9 kJ/mol of atoms.

---

P:
Material: MgZr2Sb2
Method: DFT, PBE-GGA
State: relaxed

Volume   24.0 A^3/atom
DOS at the Fermi energy   2.8 states/eV/f.u.

Lattice parameters (Å, degrees): 7.975 7.975 3.779 90.00 90.00 90.00
Fractional coordinates of all 10 atoms:
Mg (0.000, 0.000, 0.000)
Mg (0.500, 0.500, 0.000)
Zr (0.138, 0.362, 0.000)
Zr (0.362, 0.862, 0.000)
Zr (0.638, 0.138, 0.000)
Zr (0.862, 0.638, 0.000)
Sb (0.157, 0.657, 0.500)
Sb (0.343, 0.157, 0.500)
Sb (0.657, 0.843, 0.500)
Sb (0.843, 0.343, 0.500)

---

Q:
Material: MgZr2Sb2
Method: DFT, PBE-GGA
State: relaxed

Volume   23.5 A^3/atom
DOS at the Fermi energy   0.9 states/eV/f.u.

Lattice parameters (Å, degrees): 7.875 7.875 3.791 90.00 90.00 90.00
Fractional coordinates of all 10 atoms:
Mg (0.000, 0.000, 0.000)
Mg (0.500, 0.500, 0.000)
Zr (0.141, 0.359, 0.500)
Zr (0.359, 0.859, 0.500)
Zr (0.641, 0.141, 0.500)
Zr (0.859, 0.641, 0.500)
Sb (0.152, 0.652, 0.000)
Sb (0.348, 0.152, 0.000)
Sb (0.652, 0.848, 0.000)
Sb (0.848, 0.348, 0.000)

---

Preferred: Q; penalty for the next structure: 8.7 kJ/mol of atoms.

---

P:
Material: Mg2Sc3
Method: DFT, PBE-GGA
State: relaxed

Volume   23.8 A^3/atom
DOS at the Fermi energy   7.0 states/eV/f.u.

Lattice parameters (Å, degrees): 8.188 6.092 9.350 59.69 39.97 80.35
Fractional coordinates of all 10 atoms:
Mg (0.025, 0.475, 0.071)
Mg (0.179, 0.821, 0.225)
Mg (0.475, 0.025, 0.429)
Mg (0.821, 0.179, 0.775)
Sc (0.045, 0.045, 0.955)
Sc (0.295, 0.295, 0.205)
Sc (0.465, 0.590, 0.337)
Sc (0.590, 0.465, 0.609)
Sc (0.641, 0.913, 0.660)
Sc (0.913, 0.641, 0.785)

---

Q:
Material: Mg2Sc3
Method: DFT, PBE-GGA
State: relaxed

Volume   24.7 A^3/atom
DOS at the Fermi energy   6.8 states/eV/f.u.

Lattice parameters (Å, degrees): 6.945 6.945 5.481 98.57 98.57 105.19
Fractional coordinates of all 10 atoms:
Mg (0.064, 0.936, 0.750)
Mg (0.191, 0.809, 0.250)
Mg (0.809, 0.191, 0.750)
Mg (0.936, 0.064, 0.250)
Sc (0.000, 0.500, 0.500)
Sc (0.267, 0.419, 0.011)
Sc (0.419, 0.267, 0.511)
Sc (0.500, 0.000, 0.000)
Sc (0.581, 0.733, 0.489)
Sc (0.733, 0.581, 0.989)

---

Preferred: P; penalty for the next structure: 15.0 kJ/mol of atoms.

---

P:
Material: Mg3Sc5
Method: DFT, PBE-GGA
State: relaxed

Volume   23.7 A^3/atom
DOS at the Fermi energy   11.4 states/eV/f.u.

Lattice parameters (Å, degrees): 6.312 6.312 4.840 90.00 90.00 100.23
Fractional coordinates of all 8 atoms:
Mg (0.000, 0.000, 0.000)
Mg (0.260, 0.740, 0.500)
Mg (0.740, 0.260, 0.500)
Sc (0.000, 0.500, 0.000)
Sc (0.240, 0.240, 0.500)
Sc (0.500, 0.000, 0.000)
Sc (0.500, 0.500, 0.000)
Sc (0.760, 0.760, 0.500)

---

Q:
Material: Mg3Sc5
Method: DFT, PBE-GGA
State: relaxed

Volume   24.0 A^3/atom
DOS at the Fermi energy   10.1 states/eV/f.u.

Lattice parameters (Å, degrees): 8.811 8.811 8.811 95.53 95.53 143.83
Fractional coordinates of all 16 atoms:
Mg (0.169, 0.669, 0.838)
Mg (0.250, 0.250, 0.000)
Mg (0.331, 0.169, 0.500)
Mg (0.669, 0.831, 0.500)
Mg (0.750, 0.750, 0.000)
Mg (0.831, 0.331, 0.162)
Sc (0.081, 0.228, 0.309)
Sc (0.228, 0.919, 0.146)
Sc (0.250, 0.750, 0.500)
Sc (0.272, 0.419, 0.691)
Sc (0.419, 0.728, 0.146)
Sc (0.581, 0.272, 0.854)
Sc (0.728, 0.581, 0.309)
Sc (0.750, 0.250, 0.500)
Sc (0.772, 0.081, 0.854)
Sc (0.919, 0.772, 0.691)

---

R:
Material: Mg3Sc5
Method: DFT, PBE-GGA
State: relaxed

Volume   24.2 A^3/atom
DOS at the Fermi energy   10.7 states/eV/f.u.

Lattice parameters (Å, degrees): 8.938 8.938 5.597 90.00 90.00 120.00
Fractional coordinates of all 16 atoms:
Mg (0.000, 0.405, 0.250)
Mg (0.000, 0.595, 0.750)
Mg (0.405, 0.000, 0.250)
Mg (0.405, 0.405, 0.750)
Mg (0.595, 0.000, 0.750)
Mg (0.595, 0.595, 0.250)
Sc (0.000, 0.222, 0.750)
Sc (0.000, 0.778, 0.250)
Sc (0.222, 0.000, 0.750)
Sc (0.222, 0.222, 0.250)
Sc (0.333, 0.667, 0.000)
Sc (0.333, 0.667, 0.500)
Sc (0.667, 0.333, 0.000)
Sc (0.667, 0.333, 0.500)
Sc (0.778, 0.000, 0.250)
Sc (0.778, 0.778, 0.750)

---

Preferred: P; penalty for the next structure: 7.0 kJ/mol of atoms.

---

P:
Material: Mg4Sc
Method: DFT, PBE-GGA
State: relaxed

Volume   23.1 A^3/atom
DOS at the Fermi energy   3.5 states/eV/f.u.

Lattice parameters (Å, degrees): 5.465 5.465 5.465 101.06 101.06 128.05
Fractional coordinates of all 5 atoms:
Mg (0.089, 0.702, 0.790)
Mg (0.298, 0.089, 0.387)
Mg (0.702, 0.911, 0.613)
Mg (0.911, 0.298, 0.210)
Sc (0.500, 0.500, 0.000)

---

Q:
Material: Mg4Sc
Method: DFT, PBE-GGA
State: relaxed

Volume   23.1 A^3/atom
DOS at the Fermi energy   3.7 states/eV/f.u.

Lattice parameters (Å, degrees): 11.039 11.039 11.039 162.98 162.98 24.16
Fractional coordinates of all 5 atoms:
Mg (0.102, 0.102, 0.000)
Mg (0.299, 0.299, 0.000)
Mg (0.701, 0.701, 0.000)
Mg (0.898, 0.898, 0.000)
Sc (0.500, 0.500, 0.000)

---

Preferred: Q; penalty for the next structure: 4.0 kJ/mol of atoms.